# GaBiSe

A relaxed structure of GaBiSe (PBE, the Alexandria database).

Summary:
For the density of states at the Fermi level, the calculation gives 5.365 states/eV per cell. The value obtained for the energy relative to the lowest polymorph listed for this composition is 468 meV per atom.

abc: 8.7863 8.7863 8.7863
angles: 108.60 108.60 111.22
Element x y z (fractional)
Bi1 0.6459 0.8541 0.5000
Bi2 0.1459 0.6459 0.7918
Bi3 0.8541 0.3541 0.2082
Bi4 0.3541 0.1459 0.5000
Se1 0.3579 0.8579 0.2158
Se2 0.8579 0.6421 0.5000
Se3 0.1421 0.3579 0.5000
Se4 0.6421 0.1421 0.7842
Ga1 0.0000 0.5000 0.0000
Ga2 0.5000 0.5000 0.5000
Ga3 0.0000 0.0000 0.5000
Ga4 0.5000 0.0000 0.0000